1.
Material: Pm2UGaN5
Method: DFT, GGA-PBE
State: relaxed

Calculated values
The volume is 501.8 Å³/cell. The calculation puts the formation energy without anion corrections at -1.141 eV per atom. As for the total magnetization: 0.00 μB/f.u. The uncorrected energy comes out at -8.41 eV per atom.

Cell lengths 3.4429, 14.1093, 10.3299 Å; angles 90.00, 90.00, 90.00 degrees
Last column: nearest neighbours and their distance in Å.
Space group Cmc2_1 (No. 36)
Unique sites:
Pm  0.0000  0.1062  0.0000 [4 per cell]  6 N 2.48-2.75
Pm  0.0000  0.1234  0.6059 [4 per cell]  5 N 2.44-2.73
U  0.0000  0.2129  0.3149 [4 per cell]  6 N 2.17-2.24
Ga  0.0000  0.4856  0.7784 [4 per cell]  4 N 1.95-2.11
N  0.0000  0.0568  0.3541 [4 per cell]  2 Ga 1.98
N  0.0000  0.2831  0.9460 [4 per cell]  2 U 2.19
N  0.0000  0.2971  0.6850 [4 per cell]  2 U 2.19
N  0.0000  0.3667  0.3117 [4 per cell]  1 Ga 2.11, 1 U 2.17
N  0.0000  0.4987  0.0906 [4 per cell]  1 Ga 1.95

---

2.
Material: LiOsRh2
Method: DFT, GGA-PBE
State: relaxed

Calculated values
The volume is 113.2 Å³/cell. As for the total magnetization: 0.00 μB/f.u. The energy above the most stable polymorph in this dataset comes out at 5 meV/atom. The uncorrected energy comes out at -6.97 eV per atom. As for the formation energy from the elements: -0.009 eV per atom.

Cell lengths 4.7159, 2.7206, 8.9625 Å; angles 90.00, 100.20, 90.00 degrees
Last column: nearest neighbours and their distance in Å.
Space group Cm (No. 8)
Unique sites:
Li  0.0000  0.0000  0.0000 [2 per cell]  6 Li 2.72, 6 Rh 2.74-2.75
Os  0.1669  0.0000  0.5002 [2 per cell]  6 Rh 2.67, 6 Os 2.72
Rh  0.0827  0.5000  0.7453 [2 per cell]  3 Os 2.67, 6 Rh 2.72, 3 Li 2.74
Rh  0.4169  0.0000  0.2554 [2 per cell]  3 Os 2.67, 6 Rh 2.72, 3 Li 2.74-2.75

---

3.
Material: Fe3GeRh
Method: DFT, GGA-PBE
State: relaxed

Calculated values
The volume is 82.2 Å³/cell. As for the total magnetization: 8.93 μB/f.u. The energy above the most stable polymorph in this dataset comes out at 0 meV/atom. The uncorrected energy comes out at -6.48 eV per atom. As for the formation energy from the elements: 0.988 eV per atom.

Cell lengths 4.3473, 4.3473, 4.3473 Å; angles 90.00, 90.00, 90.00 degrees
Last column: nearest neighbours and their distance in Å.
Space group Pm-3m (No. 221)
Unique sites:
Fe  0.0000  0.0000  0.5000 [3 per cell]  2 Ge 2.17
Ge  0.0000  0.0000  0.0000 [1 per cell]  6 Fe 2.17
Rh  0.5000  0.5000  0.5000 [1 per cell]  12 Fe 3.07

---

4.
Material: Al6Cr2Ga
Method: DFT, GGA-PBE
State: relaxed

Calculated values
The volume is 268.0 Å³/cell. As for the total magnetization: 3.51 μB/f.u. The uncorrected energy comes out at -5.01 eV per atom. As for the formation energy from the elements: -0.043 eV per atom.

Cell lengths 12.1472, 3.8017, 6.1973 Å; angles 90.00, 110.53, 90.00 degrees
Last column: nearest neighbours and their distance in Å.
Space group C2/m (No. 12)
Unique sites:
Al  0.1020  0.0000  0.1512 [4 per cell]  4 Al 2.53-2.78, 4 Cr 2.73-2.76
Al  0.1672  0.5000  0.5015 [4 per cell]  2 Cr 2.73, 8 Al 2.76-2.92, 2 Ga 2.78
Al  0.2221  0.0000  0.8470 [4 per cell]  7 Al 2.60-2.86, 3 Cr 2.73-2.77, 1 Ga 2.80
Cr  0.0561  0.5000  0.8149 [4 per cell]  2 Ga 2.64, 9 Al 2.73-2.77
Ga  0.0000  0.0000  0.5000 [2 per cell]  4 Cr 2.64, 8 Al 2.78-2.84